# 1
## CeSeBr (GGA-PBE)

Data for a relaxed CeSeBr crystal.

Cell: 4.5023 4.5023 7.9618 Å, 90.00 90.00 90.00°
Space group P4/nmm (No. 129, origin choice 2)
Unique sites:
Ce (0.2500, 0.2500, 0.2284)
Se (0.2500, 0.2500, 0.8604)
Br (0.2500, 0.7500, 0.5000)

Magnetization (μB per formula unit): 1.00
Uncorrected formation energy (meV per atom): -1673
Mass density (Mg/m³): 6.2
DOS at the Fermi energy (states/eV/atom): 2.565



# 2
## BaCaAu (GGA-PBE)

Data for a relaxed BaCaAu crystal.

Cell: 5.9771 5.6104 6.8203 Å, 90.00 103.10 90.00°
Space group P2_1/m (No. 11)
Unique sites:
Ba (0.2056, 0.2500, 0.3941)
Ca (0.3180, 0.7500, 0.0179)
Au (0.1478, 0.2500, 0.8630)

Magnetization (μB per formula unit): 0.00
Mass density (Mg/m³): 5.6
Energy of formation from the pure elements (eV per atom): -0.5246
DOS at the Fermi energy (states/eV/atom): 0.872
Relative energy among the computed polymorphs (eV per formula unit): 0.02



# 3
## Li5In6Pd (GGA-PBE)

Data for a relaxed Li5In6Pd crystal.

Cell: 4.6373 7.0920 7.3232 Å, 90.00 108.25 90.00°
Space group P2/m (No. 10)
Unique sites:
Li (0.0000, 0.0000, 0.0000)
Li (0.3277, 0.0000, 0.6588)
Li (0.3383, 0.5000, 0.6784)
In (0.1680, 0.2570, 0.3336)
In (0.5000, 0.2478, 0.0000)
Pd (0.0000, 0.5000, 0.0000)

Magnetization (μB per formula unit): 0.00
Mass density (Mg/m³): 6.0
Energy of formation from the pure elements (eV per atom): -0.3191
DOS at the Fermi energy (states/eV/atom): 0.349



# 4
## ZrScBi3 (GGA-PBE)

Data for a relaxed ZrScBi3 crystal.

Cell: 5.6353 5.6353 5.6353 Å, 90.00 90.00 90.00°
Space group Pm-3m (No. 221)
Unique sites:
Zr (0.0000, 0.0000, 0.0000)
Sc (0.5000, 0.5000, 0.5000)
Bi (0.0000, 0.0000, 0.5000)

Magnetization (μB per formula unit): 0.00
Mass density (Mg/m³): 7.1
Energy of formation from the pure elements (eV per atom): 0.3749
DOS at the Fermi energy (states/eV/atom): 1.336
Relative energy among the computed polymorphs (eV per formula unit): 0.00



# 5
## Rh2PbAu (GGA-PBE)

Data for a relaxed Rh2PbAu crystal.

Cell: 4.5627 4.5627 3.3367 Å, 90.00 90.00 90.00°
Space group P4/mmm (No. 123)
Unique sites:
Rh (0.0000, 0.5000, 0.0000)
Pb (0.0000, 0.0000, 0.5000)
Au (0.5000, 0.5000, 0.5000)

Magnetization (μB per formula unit): 0.00
Mass density (Mg/m³): 14.6
Energy of formation from the pure elements (eV per atom): 0.0697
DOS at the Fermi energy (states/eV/atom): 0.889



# 6
## Pm8Ir2Pd (GGA-PBE)

Data for a relaxed Pm8Ir2Pd crystal.

Cell: 17.7916 5.0354 6.9994 Å, 90.00 100.78 90.00°
Space group C2/m (No. 12)
Unique sites:
Pm (0.0377, 0.0000, 0.2749)
Pm (0.0903, 0.5000, 0.9485)
Pm (0.1685, 0.5000, 0.4656)
Pm (0.2030, 0.0000, 0.8324)
Ir (0.2015, 0.0000, 0.2354)
Pd (0.0000, 0.5000, 0.5000)

Magnetization (μB per formula unit): 0.00
Mass density (Mg/m³): 8.9
Energy of formation from the pure elements (eV per atom): -0.4260
DOS at the Fermi energy (states/eV/atom): 1.191
Relative energy among the computed polymorphs (eV per formula unit): 0.00